Entry 1:
! NaTbTl2 | Alexandria via LeMat-Bulk | PBE-GGA | relaxed; values from VASP
&SYSTEM
  ibrav = 0, nat = 4, ntyp = 3
/
ATOMIC_SPECIES
Na 22.99 Na.upf
Tl 204.38 Tl.upf
Tb 158.93 Tb.upf
CELL_PARAMETERS angstrom
3.6272 0.0000 0.0000
1.8136 3.1413 0.0000
1.8136 1.0471 10.3790
ATOMIC_POSITIONS angstrom
Na 0.0000 0.0000 0.0000
Tl 1.8136 1.0471 2.6079
Tl 5.4408 3.1413 7.7710
Tb 3.6272 2.0942 5.1895
! - Size of the total moment: 0.00 Bohr magnetons per cell
! - Total DFT energy (no corrections): -11.092 eV per cell
! - Energy of formation from the pure elements: -0.102 eV per atom
! - Calculated volume: 29.56 Å³ per atom
! - Density: 8.294 g/cm3



Entry 2:
! Ce4Pm2Pb3 | Alexandria via LeMat-Bulk | PBE-GGA | relaxed; values from VASP
&SYSTEM
  ibrav = 0, nat = 9, ntyp = 3
/
ATOMIC_SPECIES
Pb 207.20 Pb.upf
Pm 145.00 Pm.upf
Ce 140.12 Ce.upf
CELL_PARAMETERS angstrom
3.8539 0.0000 0.0000
0.0000 8.7831 0.0000
0.0000 -4.3916 7.6064
ATOMIC_POSITIONS angstrom
Pb 1.9269 2.6893 4.6581
Pb 1.9269 -1.7022 2.9483
Pb 1.9269 3.4044 0.0000
Pm 0.0000 0.0000 5.0709
Pm 0.0000 4.3916 2.5355
Ce 0.0000 6.7308 0.0000
Ce 1.9269 0.0000 0.0000
Ce 0.0000 1.0262 1.7773
Ce 0.0000 -3.3654 5.8291
! - Size of the total moment: 1.86 Bohr magnetons per cell
! - Total DFT energy (no corrections): -46.507 eV per cell
! - Energy of formation from the pure elements: -0.238 eV per atom
! - Calculated volume: 28.61 Å³ per atom
! - Density: 9.494 g/cm3



Entry 3:
! LiCaPrMg | Alexandria via LeMat-Bulk | PBE-GGA | relaxed; values from VASP
&SYSTEM
  ibrav = 0, nat = 4, ntyp = 4
/
ATOMIC_SPECIES
Mg 24.30 Mg.upf
Li 6.94 Li.upf
Pr 140.91 Pr.upf
Ca 40.08 Ca.upf
CELL_PARAMETERS angstrom
5.5432 0.0000 0.0000
2.7716 4.8005 0.0000
2.7716 1.6002 4.5260
ATOMIC_POSITIONS angstrom
Mg 5.5432 3.2003 2.2630
Li 0.0000 0.0000 0.0000
Pr 8.3147 4.8005 3.3945
Ca 2.7716 1.6002 1.1315
! - Size of the total moment: 0.00 Bohr magnetons per cell
! - Total DFT energy (no corrections): -10.329 eV per cell
! - Energy of formation from the pure elements: -0.010 eV per atom
! - Calculated volume: 30.11 Å³ per atom
! - Density: 2.926 g/cm3
! - ΔE to the lowest computed polymorph: 2 meV per atom



Entry 4:
! Sr2TeCl2 | Alexandria via LeMat-Bulk | PBE-GGA | relaxed; values from VASP
&SYSTEM
  ibrav = 0, nat = 5, ntyp = 3
/
ATOMIC_SPECIES
Sr 87.62 Sr.upf
Cl 35.45 Cl.upf
Te 127.60 Te.upf
CELL_PARAMETERS angstrom
4.5899 0.0000 0.0000
0.0000 4.5899 0.0000
2.2949 2.2949 7.4855
ATOMIC_POSITIONS angstrom
Sr 4.5899 4.5899 5.5588
Sr 2.2949 2.2949 1.9267
Cl 4.5899 2.2949 3.7427
Cl 2.2949 4.5899 3.7427
Te 0.0000 0.0000 0.0000
! - Size of the total moment: 0.00 Bohr magnetons per cell
! - Total DFT energy (no corrections): -20.277 eV per cell
! - Calculated volume: 31.54 Å³ per atom
! - Density: 3.936 g/cm3
! - Formation energy without anion corrections: -972 kJ/mol of formula units



Entry 5:
! YPb4 | Alexandria via LeMat-Bulk | PBE-GGA | relaxed; values from VASP
&SYSTEM
  ibrav = 0, nat = 5, ntyp = 2
/
ATOMIC_SPECIES
Y 88.91 Y.upf
Pb 207.20 Pb.upf
CELL_PARAMETERS angstrom
4.5036 0.9266 4.0576
-4.2441 3.4632 -2.7566
-3.7510 -3.2429 3.6081
ATOMIC_POSITIONS angstrom
Y 0.0000 0.0000 0.0000
Pb -2.1680 2.0040 1.7530
Pb 1.2393 1.4807 2.8392
Pb -1.3235 -0.8571 3.1561
Pb -4.7308 -0.3338 2.0699
! - Size of the total moment: 0.00 Bohr magnetons per cell
! - Total DFT energy (no corrections): -22.139 eV per cell
! - Energy of formation from the pure elements: -0.168 eV per atom
! - Calculated volume: 29.67 Å³ per atom
! - Density: 10.273 g/cm3
! - ΔE to the lowest computed polymorph: 0 meV per atom



Entry 6:
! HoGa3CuIr | Alexandria via LeMat-Bulk | PBE-GGA | relaxed; values from VASP
&SYSTEM
  ibrav = 0, nat = 12, ntyp = 4
/
ATOMIC_SPECIES
Ga 69.72 Ga.upf
Ir 192.22 Ir.upf
Ho 164.93 Ho.upf
Cu 63.55 Cu.upf
CELL_PARAMETERS angstrom
-1.9893 5.6489 1.0329
-5.3473 -1.4429 -2.4075
0.7186 -0.9436 6.5440
ATOMIC_POSITIONS angstrom
Ga -2.5314 2.4098 -0.1754
Ga -5.5066 2.3732 3.2338
Ga -3.8105 -1.0282 -1.7156
Ga -1.1114 0.8893 1.9356
Ga -1.5368 -0.4147 -0.6919
Ga -4.8052 1.7963 -1.1991
Ir -1.9204 0.2003 4.1452
Ir -4.6976 3.0622 1.0242
Ho -4.0080 -0.0220 1.3407
Ho -2.6100 3.2845 3.8287
Cu -4.9060 -0.7868 3.7937
Cu -1.7120 4.0493 1.3757
! - Size of the total moment: 0.00 Bohr magnetons per cell
! - Total DFT energy (no corrections): -56.829 eV per cell
! - Energy of formation from the pure elements: -0.300 eV per atom
! - Calculated volume: 18.12 Å³ per atom
! - Density: 9.618 g/cm3



Entry 7:
! K2CaZrH16C8O24 | Alexandria via LeMat-Bulk | PBE-GGA | relaxed; values from VASP
&SYSTEM
  ibrav = 0, nat = 52, ntyp = 6
/
ATOMIC_SPECIES
O 16.00 O.upf
Zr 91.22 Zr.upf
H 1.01 H.upf
C 12.01 C.upf
K 39.10 K.upf
Ca 40.08 Ca.upf
CELL_PARAMETERS angstrom
8.9441 0.0000 0.0000
4.4721 8.1457 0.0000
4.4721 0.0000 8.1457
ATOMIC_POSITIONS angstrom
O 1.8726 0.9369 0.8541
O 8.7343 7.7763 2.9082
O 13.2546 5.0157 2.9591
O 10.6896 5.8479 2.4597
O 10.8168 7.2089 7.2917
O 6.5012 1.1319 3.6821
O 2.7266 2.4597 2.2979
O 6.9150 3.6821 7.0138
O 6.5012 7.0138 4.4637
O 13.2546 3.1300 5.1867
O 5.0302 6.5555 1.4538
O 4.6819 2.9082 0.3694
O 8.3860 6.6920 6.5555
O 8.3860 1.4538 1.5903
O 11.6708 5.6860 5.8479
O 10.6896 2.2979 5.6860
O 11.5436 0.8541 7.2089
O 6.9150 4.4637 1.1319
O 8.7343 0.3694 5.2376
O 5.0302 1.5903 6.6920
O 9.1058 2.9591 3.1300
O 11.5436 7.2917 0.9369
O 13.6260 5.2376 7.7763
O 9.1058 5.1867 5.0157
Zr 0.0000 0.0000 0.0000
H 6.4707 5.3367 1.2114
H 5.5171 3.4050 0.5738
H 7.8991 7.5720 3.4050
H 13.1423 5.3351 6.9240
H 14.5938 7.4944 4.6420
H 6.9455 1.2114 2.8090
H 6.4707 2.8090 6.9344
H 7.8991 0.5738 4.7407
H 6.9455 6.9344 5.3367
H 4.1982 2.8106 1.2218
H 7.7666 4.6420 0.6513
H 9.2180 1.2218 5.3351
H 5.6496 0.6513 3.5038
H 14.4612 4.7407 7.5720
H 7.7666 3.5038 7.4944
H 9.2180 6.9240 2.8106
C 10.7273 1.8290 1.7673
C 11.6331 6.3784 1.8290
C 9.2922 2.1320 2.2234
C 13.0682 5.9223 2.1320
C 10.7273 6.3167 6.3784
C 11.6331 1.7673 6.3167
C 9.2922 6.0137 5.9223
C 13.0682 2.2234 6.0137
K 6.7081 4.0729 4.0729
K 4.4721 0.0000 0.0000
Ca 11.1802 4.0729 4.0729
! - Size of the total moment: 0.00 Bohr magnetons per cell
! - Total DFT energy (no corrections): -331.452 eV per cell
! - Calculated volume: 11.41 Å³ per atom
! - Density: 1.975 g/cm3



Entry 8:
! MnCd2Rh | Alexandria via LeMat-Bulk | PBE-GGA | relaxed; values from VASP
&SYSTEM
  ibrav = 0, nat = 4, ntyp = 3
/
ATOMIC_SPECIES
Cd 112.41 Cd.upf
Mn 54.94 Mn.upf
Rh 102.91 Rh.upf
CELL_PARAMETERS angstrom
5.4636 0.0681 0.0874
2.4563 4.8808 -0.0874
-3.4476 -3.2945 2.6691
ATOMIC_POSITIONS angstrom
Cd 0.0955 0.0596 0.0000
Cd 2.9202 -0.4184 1.3783
Mn 3.8003 2.3747 0.0000
Rh 1.6164 2.1129 1.2909
! - Size of the total moment: 4.18 Bohr magnetons per cell
! - Total DFT energy (no corrections): -18.232 eV per cell
! - Energy of formation from the pure elements: 0.030 eV per atom
! - Calculated volume: 17.49 Å³ per atom
! - Density: 9.085 g/cm3
! - ΔE to the lowest computed polymorph: 52 meV per atom



Entry 9:
! LiTa2HPd | Alexandria via LeMat-Bulk | PBE-GGA | relaxed; values from VASP
&SYSTEM
  ibrav = 0, nat = 5, ntyp = 4
/
ATOMIC_SPECIES
Pd 106.42 Pd.upf
Ta 180.95 Ta.upf
H 1.01 H.upf
Li 6.94 Li.upf
CELL_PARAMETERS angstrom
4.0165 0.0000 0.0000
0.0000 4.0165 0.0000
0.0000 0.0000 4.1299
ATOMIC_POSITIONS angstrom
Pd 2.0082 2.0082 2.0649
Ta 0.0000 2.0082 0.0000
Ta 2.0082 0.0000 0.0000
H 0.0000 0.0000 0.0000
Li 0.0000 0.0000 2.0649
! - Size of the total moment: 0.00 Bohr magnetons per cell
! - Total DFT energy (no corrections): -34.338 eV per cell
! - Calculated volume: 13.32 Å³ per atom
! - Density: 11.871 g/cm3



Entry 10:
! LiAcCuPt3 | Alexandria via LeMat-Bulk | PBE-GGA | relaxed; values from VASP
&SYSTEM
  ibrav = 0, nat = 12, ntyp = 4
/
ATOMIC_SPECIES
Ac 227.00 Ac.upf
Pt 195.08 Pt.upf
Cu 63.55 Cu.upf
Li 6.94 Li.upf
CELL_PARAMETERS angstrom
-3.0264 -2.3476 -4.3422
1.2333 -5.6292 2.1838
-5.8139 3.0350 2.4113
ATOMIC_POSITIONS angstrom
Ac -5.4230 -1.6270 -1.1312
Ac -2.1840 -3.3148 1.3841
Pt 0.3437 -1.5687 0.6086
Pt -5.2588 -4.4224 0.2656
Pt 0.8896 -4.0605 1.5753
Pt -1.1695 -2.7425 -1.5625
Pt -2.3482 -0.5194 -0.0127
Pt -0.6236 -5.2343 -0.5958
Cu -4.4771 -0.4291 1.4222
Cu -3.1299 -4.5127 -1.1693
Li -4.5736 -3.2135 2.9949
Li -3.0334 -1.7283 -2.7420
! - Size of the total moment: 0.00 Bohr magnetons per cell
! - Total DFT energy (no corrections): -62.736 eV per cell
! - Energy of formation from the pure elements: -0.521 eV per atom
! - Calculated volume: 18.65 Å³ per atom
! - Density: 13.101 g/cm3



Entry 11:
! CeHN | Alexandria via LeMat-Bulk | PBE-GGA | relaxed; values from VASP
&SYSTEM
  ibrav = 0, nat = 3, ntyp = 3
/
ATOMIC_SPECIES
Ce 140.12 Ce.upf
N 14.01 N.upf
H 1.01 H.upf
CELL_PARAMETERS angstrom
3.2155 0.0000 0.0000
0.0000 3.5822 0.0000
0.0000 -1.7911 3.1023
ATOMIC_POSITIONS angstrom
Ce 1.4991 1.7911 1.0341
N 0.1023 0.0000 0.0000
H 1.6141 0.0000 2.0682
! - Size of the total moment: 0.00 Bohr magnetons per cell
! - Total DFT energy (no corrections): -19.648 eV per cell
! - Calculated volume: 11.91 Å³ per atom
! - Density: 7.209 g/cm3



Entry 12:
! Re2SbOs | Alexandria via LeMat-Bulk | PBE-GGA | relaxed; values from VASP
&SYSTEM
  ibrav = 0, nat = 4, ntyp = 3
/
ATOMIC_SPECIES
Sb 121.76 Sb.upf
Os 190.23 Os.upf
Re 186.21 Re.upf
CELL_PARAMETERS angstrom
-3.5093 2.8106 2.8824
-5.0918 -1.6112 0.0105
5.0721 -1.2461 1.1154
ATOMIC_POSITIONS angstrom
Sb -4.2994 0.5996 1.4461
Os -2.3236 -1.1060 1.3412
Re -1.2543 1.0661 2.6836
Re -8.5534 1.1928 2.8769
! - Size of the total moment: 0.00 Bohr magnetons per cell
! - Total DFT energy (no corrections): -37.761 eV per cell
! - Calculated volume: 16.05 Å³ per atom
! - Density: 17.697 g/cm3
! - Formation energy without anion corrections: 240 kJ/mol of formula units



Entry 13:
! La3Pr4Sm3 | Alexandria via LeMat-Bulk | PBE-GGA | relaxed; values from VASP
&SYSTEM
  ibrav = 0, nat = 10, ntyp = 3
/
ATOMIC_SPECIES
Sm 150.36 Sm.upf
Pr 140.91 Pr.upf
La 138.91 La.upf
CELL_PARAMETERS angstrom
-0.9879 -2.0651 3.1355
-3.9639 -6.7822 -5.7158
8.4977 -4.6906 -0.4119
ATOMIC_POSITIONS angstrom
Sm 2.5359 -8.7186 -2.5398
Sm 0.9959 -4.8216 -0.4584
Sm -2.3345 -7.4583 -3.2444
Pr 3.9723 -9.9871 -5.3261
Pr 0.6096 -1.4776 -0.7811
Pr 0.6692 -6.0045 -3.7439
Pr 3.8478 -5.4710 -2.3910
La 5.8815 -6.0793 0.2526
La 0.2623 -9.0949 -5.9075
La -1.9776 -3.4268 -2.8801
! - Size of the total moment: 0.00 Bohr magnetons per cell
! - Total DFT energy (no corrections): -47.142 eV per cell
! - Energy of formation from the pure elements: 0.092 eV per atom
! - Calculated volume: 36.64 Å³ per atom
! - Density: 6.487 g/cm3



Entry 14:
! AgRu2Au | Alexandria via LeMat-Bulk | PBE-GGA | relaxed; values from VASP
&SYSTEM
  ibrav = 0, nat = 4, ntyp = 3
/
ATOMIC_SPECIES
Ag 107.87 Ag.upf
Au 196.97 Au.upf
Ru 101.07 Ru.upf
CELL_PARAMETERS angstrom
2.7475 -0.0122 0.0000
-1.3075 2.4165 0.0000
0.0000 0.0000 9.8028
ATOMIC_POSITIONS angstrom
Ag 0.7200 1.2022 2.4507
Au 0.7200 1.2022 7.3521
Ru 0.0000 0.0000 9.7999
Ru 0.0000 0.0000 4.9043
! - Size of the total moment: 2.08 Bohr magnetons per cell
! - Total DFT energy (no corrections): -22.279 eV per cell
! - Energy of formation from the pure elements: 0.600 eV per atom
! - Calculated volume: 16.23 Å³ per atom
! - Density: 12.966 g/cm3
! - ΔE to the lowest computed polymorph: 387 meV per atom



Entry 15:
! Si4NiRh | Alexandria via LeMat-Bulk | PBE-GGA | relaxed; values from VASP
&SYSTEM
  ibrav = 0, nat = 6, ntyp = 3
/
ATOMIC_SPECIES
Si 28.09 Si.upf
Ni 58.69 Ni.upf
Rh 102.91 Rh.upf
CELL_PARAMETERS angstrom
0.0000 3.4382 3.4382
3.4382 0.0000 3.4382
3.4382 3.4382 0.0000
ATOMIC_POSITIONS angstrom
Si 4.2966 4.2966 4.2966
Si 2.5798 4.2966 2.5798
Si 2.5798 2.5798 4.2966
Si 4.2966 2.5798 2.5798
Ni 1.7191 1.7191 1.7191
Rh 0.0000 0.0000 0.0000
! - Size of the total moment: 0.00 Bohr magnetons per cell
! - Total DFT energy (no corrections): -32.832 eV per cell
! - Calculated volume: 13.55 Å³ per atom
! - Density: 5.596 g/cm3
! - Formation energy without anion corrections: 192 kJ/mol of formula units



Entry 16:
! La4ScSe | Alexandria via LeMat-Bulk | PBE-GGA | relaxed; values from VASP
&SYSTEM
  ibrav = 0, nat = 6, ntyp = 3
/
ATOMIC_SPECIES
La 138.91 La.upf
Sc 44.96 Sc.upf
Se 78.96 Se.upf
CELL_PARAMETERS angstrom
0.0000 4.5892 4.5892
4.5892 0.0000 4.5892
4.5892 4.5892 0.0000
ATOMIC_POSITIONS angstrom
La 5.7155 3.4629 5.7155
La 3.4629 5.7155 5.7155
La 3.4629 3.4629 3.4629
La 5.7155 5.7155 3.4629
Sc 6.8839 6.8839 6.8839
Se 0.0000 0.0000 0.0000
! - Size of the total moment: 2.12 Bohr magnetons per cell
! - Total DFT energy (no corrections): -28.433 eV per cell
! - Calculated volume: 32.22 Å³ per atom
! - Density: 5.837 g/cm3
! - Formation energy without anion corrections: 105 kJ/mol of formula units



Entry 17:
! Ba2SbPtF | Alexandria via LeMat-Bulk | PBE-GGA | relaxed; values from VASP
&SYSTEM
  ibrav = 0, nat = 5, ntyp = 4
/
ATOMIC_SPECIES
Pt 195.08 Pt.upf
F 19.00 F.upf
Ba 137.33 Ba.upf
Sb 121.76 Sb.upf
CELL_PARAMETERS angstrom
-1.3179 1.1641 -6.0300
-1.6398 -4.6607 -0.5414
-5.7812 1.8458 1.6199
ATOMIC_POSITIONS angstrom
Pt 0.0000 0.0000 0.0000
F -4.3695 -0.8254 -2.4757
Ba -0.6590 0.5821 -3.0150
Ba -2.8906 0.9229 0.8100
Sb -0.8199 -2.3304 -0.2707
! - Size of the total moment: 0.00 Bohr magnetons per cell
! - Total DFT energy (no corrections): -21.739 eV per cell
! - Calculated volume: 39.22 Å³ per atom
! - Density: 5.170 g/cm3
! - Formation energy without anion corrections: -565 kJ/mol of formula units



Entry 18:
! TbNiAg | Alexandria via LeMat-Bulk | PBE-GGA | relaxed; values from VASP
&SYSTEM
  ibrav = 0, nat = 6, ntyp = 3
/
ATOMIC_SPECIES
Tb 158.93 Tb.upf
Ag 107.87 Ag.upf
Ni 58.69 Ni.upf
CELL_PARAMETERS angstrom
-3.1964 2.0403 -0.7395
-1.9324 -2.2603 2.1162
2.5231 5.9506 5.5123
ATOMIC_POSITIONS angstrom
Tb -2.0828 2.5041 0.7727
Tb -0.5230 3.2265 6.1162
Ag -1.4888 4.3433 3.2796
Ag -1.1170 1.3873 3.6094
Ni -1.6370 -0.2229 1.4146
Ni -0.9687 5.9535 5.4744
! - Size of the total moment: 0.00 Bohr magnetons per cell
! - Total DFT energy (no corrections): -28.814 eV per cell
! - Energy of formation from the pure elements: -0.381 eV per atom
! - Calculated volume: 19.50 Å³ per atom
! - Density: 9.240 g/cm3



Entry 19:
! ZrAgSb2 | Alexandria via LeMat-Bulk | PBE-GGA | relaxed; values from VASP
&SYSTEM
  ibrav = 0, nat = 4, ntyp = 3
/
ATOMIC_SPECIES
Sb 121.76 Sb.upf
Ag 107.87 Ag.upf
Zr 91.22 Zr.upf
CELL_PARAMETERS angstrom
0.0000 3.5969 3.5969
3.5969 0.0000 3.5969
3.5969 3.5969 0.0000
ATOMIC_POSITIONS angstrom
Sb 5.3954 5.3954 5.3954
Sb 1.7985 1.7985 1.7985
Ag 3.5969 3.5969 3.5969
Zr 0.0000 0.0000 0.0000
! - Size of the total moment: 0.00 Bohr magnetons per cell
! - Total DFT energy (no corrections): -19.835 eV per cell
! - Calculated volume: 23.27 Å³ per atom
! - Density: 7.897 g/cm3
! - Formation energy without anion corrections: -18 kJ/mol of formula units



Entry 20:
! ScTiAl2 | Alexandria via LeMat-Bulk | PBE-GGA | relaxed; values from VASP
&SYSTEM
  ibrav = 0, nat = 4, ntyp = 3
/
ATOMIC_SPECIES
Al 26.98 Al.upf
Ti 47.87 Ti.upf
Sc 44.96 Sc.upf
CELL_PARAMETERS angstrom
-0.9581 -2.9543 1.2842
1.9460 -1.5985 -2.2255
4.7909 0.2037 4.0429
ATOMIC_POSITIONS angstrom
Al 3.7138 0.1579 3.1339
Al 1.0772 0.0458 0.9090
Ti 0.4940 -2.2764 -0.4706
Sc 2.8894 -2.1745 1.5508
! - Size of the total moment: 0.33 Bohr magnetons per cell
! - Total DFT energy (no corrections): -23.137 eV per cell
! - Energy of formation from the pure elements: -0.356 eV per atom
! - Calculated volume: 17.71 Å³ per atom
! - Density: 3.441 g/cm3
! - ΔE to the lowest computed polymorph: 44 meV per atom